# 1
A relaxed BaCe2Se4 crystal, computed with PBE-GGA.

Results
Calculated volume   443.2 Å³ per cell
ΔE_f (raw)   -1272.8 kJ/mol of formula units
Crystal system   orthorhombic
Uncorrected energy   -5.85 eV/atom
N(E_F)   24.941 states/eV/cell

Lattice parameters (Å, degrees): 4.3318 7.3917 14.4785 90.00 90.00 107.04
Last column: magnetic moment on the atom in μB.
Sites, in units of the cell vectors:
Ba 0.6119 0.2238 0.7500  0.00
Ba 0.3881 0.7762 0.2500  0.00
Ce 0.1323 0.2646 0.4346  0.91
Ce 0.8677 0.7354 0.9346  0.91
Ce 0.1323 0.2646 0.0654  0.91
Ce 0.8677 0.7354 0.5654  0.91
Se 0.7671 0.5341 0.1142  -0.02
Se 0.7671 0.5341 0.3858  -0.02
Se 0.2329 0.4659 0.8858  -0.02
Se 0.2329 0.4659 0.6142  -0.02
Se 0.9428 0.8857 0.7500  -0.02
Se 0.0572 0.1143 0.2500  -0.02
Se 0.5000 0.0000 0.0000  -0.03
Se 0.5000 0.0000 0.5000  -0.03



# 2
A relaxed PmSi3Rh3 crystal, computed with PBE-GGA.

Results
Calculated volume   266.8 Å³ per cell
ΔE_f (raw)   -448.8 kJ/mol of formula units
Crystal system   trigonal
Uncorrected energy   -6.82 eV/atom
Offset from the most stable computed form   5.1 kJ per mole of atoms
N(E_F)   6.526 states/eV/cell

Lattice parameters (Å, degrees): 6.7009 6.7009 7.8756 64.82 64.82 60.00
Sites, in units of the cell vectors:
Pm 0.3320 0.3320 0.0041
Pm 0.6680 0.6680 0.9959
Si 0.1994 0.6312 0.2819
Si 0.8875 0.1994 0.2819
Si 0.6312 0.8875 0.2819
Si 0.3688 0.1125 0.7181
Si 0.1125 0.8006 0.7181
Si 0.8006 0.3688 0.7181
Rh 0.5002 0.7642 0.6373
Rh 0.7642 0.0983 0.6373
Rh 0.0983 0.5002 0.6373
Rh 0.9017 0.4998 0.3627
Rh 0.2358 0.9017 0.3627
Rh 0.4998 0.2358 0.3627



# 3
A relaxed Y8ZnCo2 crystal, computed with PBE-GGA.

Results
Calculated volume   291.8 Å³ per cell
Energy relative to the elements   -0.05 eV/atom
Crystal system   monoclinic
Uncorrected energy   -6.15 eV/atom
N(E_F)   13.247 states/eV/cell

Lattice parameters (Å, degrees): 5.3995 7.7857 7.7857 113.43 97.47 97.47
Sites, in units of the cell vectors:
Y 0.5802 0.3343 0.0714
Y 0.5802 0.0714 0.3343
Y 0.1943 0.3824 0.3824
Y 0.9998 0.2467 0.7593
Y 0.9998 0.7593 0.2467
Y 0.8056 0.6241 0.6241
Y 0.4193 0.9348 0.6718
Y 0.4193 0.6718 0.9348
Zn 0.0015 0.0030 0.0030
Co 0.4998 0.6964 0.3097
Co 0.4998 0.3097 0.6964



# 4
A relaxed PrAlTlAg crystal, computed with PBE-GGA.

Results
Calculated volume   96.4 Å³ per cell
Energy relative to the elements   -0.17 eV/atom
Crystal system   cubic
Uncorrected energy   -3.60 eV/atom
N(E_F)   1.409 states/eV/cell

Lattice parameters (Å, degrees): 5.1460 5.1460 5.1460 60.00 60.00 60.00
Sites, in units of the cell vectors:
Pr 0.0000 0.0000 0.0000
Tl 0.7500 0.7500 0.7500
Al 0.5000 0.5000 0.5000
Ag 0.2500 0.2500 0.2500



# 5
A relaxed Ag2OsRh crystal, computed with PBE-GGA.

Results
Calculated volume   64.0 Å³ per cell
Energy relative to the elements   0.27 eV/atom
Crystal system   tetragonal
Uncorrected energy   -5.80 eV/atom
Offset from the most stable computed form   0.3 kJ per mole of atoms
N(E_F)   3.528 states/eV/cell

Lattice parameters (Å, degrees): 2.7908 2.7908 8.2130 90.00 90.00 90.00
Sites, in units of the cell vectors:
Ag 0.0000 0.0000 0.9910
Ag 0.5000 0.5000 0.2593
Os 0.0000 0.0000 0.5218
Rh 0.5000 0.5000 0.7278



# 6
A relaxed ZnMoBr2 crystal, computed with PBE-GGA.

Results
Calculated volume   101.4 Å³ per cell
ΔE_f (raw)   234.4 kJ/mol of formula units
Crystal system   tetragonal
Uncorrected energy   -3.26 eV/atom
Offset from the most stable computed form   60.8 kJ per mole of atoms
N(E_F)   1.604 states/eV/cell

Lattice parameters (Å, degrees): 6.9804 6.9804 6.9804 146.83 146.83 47.61
Last column: magnetic moment on the atom in μB.
Sites, in units of the cell vectors:
Br 0.0000 0.0000 0.0000  0.04
Br 0.2500 0.7500 0.5000  0.01
Mo 0.5000 0.5000 0.0000  3.57
Zn 0.7500 0.2500 0.5000  -0.03



# 7
A relaxed Mn2TlCdI8 crystal, computed with PBE-GGA.

Results
Calculated volume   490.5 Å³ per cell
ΔE_f (raw)   -467.4 kJ/mol of formula units
Crystal system   trigonal
Uncorrected energy   -3.24 eV/atom
N(E_F)   8.947 states/eV/cell

Lattice parameters (Å, degrees): 7.4416 7.4416 10.2265 90.00 90.00 120.00
Last column: magnetic moment on the atom in μB.
Sites, in units of the cell vectors:
Mn 0.6667 0.3333 0.2549  4.04
Mn 0.3333 0.6667 0.7451  4.04
Tl 0.0000 0.0000 0.0000  0.01
Cd 0.0000 0.0000 0.5000  0.03
I 0.3333 0.6667 0.9993  -0.01
I 0.3178 0.3269 0.3208  0.01
I 0.6731 0.9909 0.3208  0.01
I 0.6667 0.3333 0.0007  -0.01
I 0.3269 0.0091 0.6792  0.01
I 0.6822 0.6731 0.6792  0.01
I 0.9909 0.3178 0.6792  0.01
I 0.0091 0.6822 0.3208  0.01



# 8
A relaxed Ca8Ga2Pd crystal, computed with PBE-GGA.

Results
Calculated volume   334.7 Å³ per cell
Energy relative to the elements   -0.32 eV/atom
Crystal system   monoclinic
Uncorrected energy   -2.80 eV/atom
Offset from the most stable computed form   0.0 kJ per mole of atoms
N(E_F)   9.178 states/eV/cell

Lattice parameters (Å, degrees): 5.2606 7.1882 9.6459 106.79 105.82 90.00
Sites, in units of the cell vectors:
Ca 0.4046 0.5625 0.8091
Ca 0.6610 0.9601 0.3221
Ca 0.7933 0.6927 0.5866
Ca 0.9709 0.2065 0.9417
Ca 0.2067 0.3073 0.4134
Ca 0.3390 0.0399 0.6779
Ca 0.5954 0.4375 0.1909
Ca 0.0291 0.7935 0.0583
Ga 0.8167 0.2893 0.6335
Ga 0.1833 0.7107 0.3665
Pd 0.5000 0.0000 0.0000



# 9
A relaxed KRe2 crystal, computed with PBE-GGA.

Results
Calculated volume   89.9 Å³ per cell
Energy relative to the elements   3.31 eV/atom
Crystal system   tetragonal
Uncorrected energy   -5.35 eV/atom
Offset from the most stable computed form   256.5 kJ per mole of atoms
N(E_F)   4.958 states/eV/cell

Lattice parameters (Å, degrees): 6.1092 6.1092 2.4082 90.00 90.00 90.00
Sites, in units of the cell vectors:
K 0.0000 0.0000 0.0000
Re 0.0000 0.5000 0.5000
Re 0.5000 0.0000 0.5000



# 10
A relaxed K2LiSc crystal, computed with PBE-GGA.

Results
Calculated volume   159.3 Å³ per cell
Energy relative to the elements   0.54 eV/atom
Crystal system   monoclinic
Uncorrected energy   -2.07 eV/atom
N(E_F)   4.078 states/eV/cell

Lattice parameters (Å, degrees): 6.4385 3.4848 7.1877 81.05 90.00 90.00
Last column: magnetic moment on the atom in μB.
Sites, in units of the cell vectors:
K 0.0000 0.0636 0.0021  0.00
K 0.0000 0.4364 0.4979  0.00
Li 0.5000 0.2500 0.2500  0.00
Sc 0.5000 0.7500 0.7500  0.58



# 11
A relaxed Ge2H4Cl3 crystal, computed with PBE-GGA.

Results
Calculated volume   387.1 Å³ per cell
Crystal system   monoclinic
Uncorrected energy   -3.31 eV/atom
N(E_F)   4.198 states/eV/cell

Lattice parameters (Å, degrees): 8.0690 7.3591 7.3591 84.55 70.27 70.27
Sites, in units of the cell vectors:
Ge 0.3113 0.2461 0.2727
Ge 0.1887 0.7273 0.7539
Ge 0.6887 0.7539 0.7273
Ge 0.8113 0.2727 0.2461
H 0.4353 0.0519 0.3255
H 0.0647 0.6745 0.9481
H 0.5647 0.9481 0.6745
H 0.9353 0.3255 0.0519
H 0.1057 0.2619 0.3094
H 0.3943 0.6906 0.7381
H 0.8943 0.7381 0.6906
H 0.6057 0.3094 0.2619
Cl 0.9251 0.9592 0.2765
Cl 0.5749 0.7235 0.0408
Cl 0.0749 0.0408 0.7235
Cl 0.4251 0.2765 0.9592
Cl 0.2500 0.5188 0.4812
Cl 0.7500 0.4812 0.5188



# 12
A relaxed PrEr12Sc7 crystal, computed with PBE-GGA.

Results
Calculated volume   577.1 Å³ per cell
Energy relative to the elements   0.15 eV/atom
Crystal system   trigonal
Uncorrected energy   -5.04 eV/atom
Offset from the most stable computed form   0.0 kJ per mole of atoms
N(E_F)   35.465 states/eV/cell

Lattice parameters (Å, degrees): 8.4717 8.4717 8.4717 99.91 99.91 99.91
Sites, in units of the cell vectors:
Pr 0.0000 0.0000 0.0000
Er 0.0000 0.2618 0.7382
Er 0.7382 0.2618 0.0000
Er 0.6000 0.1674 0.6000
Er 0.8326 0.4000 0.4000
Er 0.2618 0.0000 0.7382
Er 0.4000 0.4000 0.8326
Er 0.6000 0.6000 0.1674
Er 0.7382 0.0000 0.2618
Er 0.1674 0.6000 0.6000
Er 0.4000 0.8326 0.4000
Er 0.2618 0.7382 0.0000
Er 0.0000 0.7382 0.2618
Sc 0.8455 0.5859 0.8454
Sc 0.4141 0.1546 0.1545
Sc 0.1546 0.1545 0.4141
Sc 0.5000 0.5000 0.5000
Sc 0.8454 0.8455 0.5859
Sc 0.5859 0.8454 0.8455
Sc 0.1545 0.4141 0.1546



# 13
A relaxed Ti2GaRh2 crystal, computed with PBE-GGA.

Results
Calculated volume   161.3 Å³ per cell
Energy relative to the elements   -0.48 eV/atom
Crystal system   tetragonal
Uncorrected energy   -7.19 eV/atom
N(E_F)   7.415 states/eV/cell

Lattice parameters (Å, degrees): 7.4078 7.4078 2.9393 90.00 90.00 90.00
Sites, in units of the cell vectors:
Rh 0.1377 0.6377 0.5000
Rh 0.6377 0.8623 0.5000
Rh 0.8623 0.3623 0.5000
Rh 0.3623 0.1377 0.5000
Ga 0.0000 0.0000 0.0000
Ga 0.5000 0.5000 0.0000
Ti 0.3437 0.8437 0.0000
Ti 0.8437 0.6563 0.0000
Ti 0.6563 0.1563 0.0000
Ti 0.1563 0.3437 0.0000



# 14
A relaxed LiRePd3 crystal, computed with PBE-GGA.

Results
Calculated volume   74.9 Å³ per cell
Energy relative to the elements   0.72 eV/atom
Crystal system   cubic
Uncorrected energy   -5.27 eV/atom
Offset from the most stable computed form   0.0 kJ per mole of atoms
N(E_F)   1.865 states/eV/cell

Lattice parameters (Å, degrees): 4.2157 4.2157 4.2157 90.00 90.00 90.00
Last column: magnetic moment on the atom in μB.
Sites, in units of the cell vectors:
Re 0.5000 0.5000 0.5000  2.75
Pd 0.0000 0.5000 0.0000  0.28
Pd 0.0000 0.0000 0.5000  0.22
Pd 0.5000 0.0000 0.0000  0.42
Li 0.0000 0.0000 0.0000  -0.02



# 15
A relaxed Pm4YTm2Mg crystal, computed with PBE-GGA.

Results
Calculated volume   252.8 Å³ per cell
Energy relative to the elements   0.01 eV/atom
Crystal system   tetragonal
Uncorrected energy   -4.49 eV/atom
N(E_F)   10.625 states/eV/cell

Lattice parameters (Å, degrees): 5.0582 5.0608 11.0993 62.86 90.00 90.00
Sites, in units of the cell vectors:
Pm 0.0000 0.7447 0.7554
Pm 0.0000 0.2553 0.2446
Pm 0.5000 0.7548 0.2446
Pm 0.5000 0.2452 0.7554
Y 0.0000 0.5000 0.5000
Tm 0.0000 0.0000 0.0000
Tm 0.5000 0.0000 0.5000
Mg 0.5000 0.5000 0.0000